(1)
First-principles (PBE-GGA) data for crystalline CsSrDyCl6 at its relaxed geometry, as listed in Alexandria via LeMat-Bulk.

- VASP energy (eV for the cell shown) = -39.17
- formation energy without anion corrections (eV per atom) = -2.328
- symmetry = P312

Cell lengths 7.4053, 7.4054, 7.4898 Å; angles 90.00, 90.00, 60.00 degrees
Last column: nearest neighbours and their distance in Å.
Fractional positions:
Cs (0.0000, 0.0000, 0.0000)  6 Cl 3.56
Sr (0.6666, 0.6667, 0.5000)  6 Cl 2.91
Dy (0.3333, 0.3333, 0.5000)  6 Cl 2.66
Cl (0.0253, 0.3642, 0.2952)  1 Dy 2.66, 1 Sr 2.91
Cl (0.3641, 0.0253, 0.7048)  1 Dy 2.66, 1 Sr 2.91
Cl (0.6105, 0.3642, 0.7048)  1 Dy 2.66, 1 Sr 2.91
Cl (0.0253, 0.6105, 0.7048)  1 Dy 2.66, 1 Sr 2.91
Cl (0.3641, 0.6105, 0.2952)  1 Dy 2.66, 1 Sr 2.91
Cl (0.6105, 0.0253, 0.2952)  1 Dy 2.66, 1 Sr 2.91

(2)
First-principles (PBE-GGA) data for crystalline SmY2In3Te6 at its relaxed geometry, as listed in Alexandria via LeMat-Bulk.

- VASP energy (eV for the cell shown) = -56.54
- formation energy without anion corrections (eV per atom) = -0.986
- symmetry = C2/m

Cell lengths 7.6859, 7.6859, 8.5017 Å; angles 98.67, 98.67, 119.99 degrees
Last column: nearest neighbours and their distance in Å.
Fractional positions:
Sm (0.0000, 0.0000, 0.0000)  6 Te 3.15-3.16
Y (0.3332, 0.6668, 0.0000)  6 Te 3.11-3.12
Y (0.6668, 0.3332, 0.0000)  6 Te 3.11-3.12
In (0.1654, 0.8346, 0.5000)  6 Te 3.40-3.43
In (0.8346, 0.1654, 0.5000)  6 Te 3.40-3.43
In (0.5000, 0.5000, 0.5000)  6 Te 3.40-3.43
Te (0.9260, 0.5883, 0.7784)  2 Y 3.11-3.12, 1 Sm 3.16, 3 In 3.40-3.43
Te (0.7356, 0.7356, 0.2201)  2 Y 3.11, 1 Sm 3.15, 3 In 3.40-3.42
Te (0.0740, 0.4117, 0.2216)  2 Y 3.11-3.12, 1 Sm 3.16, 3 In 3.40-3.43
Te (0.5883, 0.9260, 0.7784)  2 Y 3.11-3.12, 1 Sm 3.16, 3 In 3.40-3.43
Te (0.2644, 0.2644, 0.7799)  2 Y 3.11, 1 Sm 3.15, 3 In 3.40-3.42
Te (0.4117, 0.0740, 0.2216)  2 Y 3.11-3.12, 1 Sm 3.16, 3 In 3.40-3.43

(3)
First-principles (PBE-GGA) data for crystalline NdGdLuTl at its relaxed geometry, as listed in Alexandria via LeMat-Bulk.

- VASP energy (eV for the cell shown) = -26.07
- symmetry = F-43m
- formation energy (eV per atom) = -0.083

Cell lengths 5.5102, 5.5102, 5.5102 Å; angles 60.00, 60.00, 60.00 degrees
Last column: nearest neighbours and their distance in Å.
Fractional positions:
Gd (0.5000, 0.5000, 0.5000)  4 Lu 3.37, 4 Tl 3.37
Tl (0.7500, 0.7500, 0.7500)  4 Nd 3.37, 4 Gd 3.37
Lu (0.2500, 0.2500, 0.2500)  4 Nd 3.37, 4 Gd 3.37
Nd (0.0000, 0.0000, 0.0000)  4 Tl 3.37, 4 Lu 3.37

Among the records above, which one has the highest VASP energy?
NdGdLuTl